Record 1
Entry from the Alexandria database: a relaxed LiAcGe2 crystal (GGA-PBE).

a b c (Å): 4.5453 4.6328 4.6328
angles (deg): 90.00 90.00 90.00
Last column: nearest neighbours and their distance in Å.
Fractional coordinates of all 4 atoms:
Ac 0.5000 0.0000 0.0000  8 Ge 3.25, 4 Li 3.28
Ge 0.0000 0.0000 0.5000  4 Ac 3.25, 4 Li 3.25, 4 Ge 3.28
Ge 0.0000 0.5000 0.0000  4 Li 3.25, 4 Ac 3.25, 4 Ge 3.28
Li 0.5000 0.5000 0.5000  8 Ge 3.25, 4 Ac 3.28

- ΔH_f (0 K): -0.358 eV/atom
- DOS(E_F): 0.4119 states/eV per atom
- Calculated volume: 98 Å³/cell


Record 2
Entry from the Alexandria database: a relaxed LiAcGe3 crystal (GGA-PBE).

a b c (Å): 4.7936 4.7936 4.7936
angles (deg): 90.00 90.00 90.00
Last column: nearest neighbours and their distance in Å.
Fractional coordinates of all 5 atoms:
Ac 0.5000 0.5000 0.5000  12 Ge 3.39
Ge 0.0000 0.5000 0.0000  2 Li 2.40
Ge 0.0000 0.0000 0.5000  2 Li 2.40
Ge 0.5000 0.0000 0.0000  2 Li 2.40
Li 0.0000 0.0000 0.0000  6 Ge 2.40

- ΔH_f (0 K): -0.211 eV/atom
- DOS(E_F): 0.4948 states/eV per atom
- Calculated volume: 110 Å³/cell


Record 3
Entry from the Alexandria database: a relaxed LiAc3Ge3 crystal (GGA-PBE).

a b c (Å): 4.6847 6.3631 14.4154
angles (deg): 84.08 80.65 68.40
Last column: nearest neighbours and their distance in Å.
Fractional coordinates of all 14 atoms:
Li 0.7543 0.0798 0.4115  4 Ge 2.75-2.97
Li 0.2457 0.9202 0.5885  4 Ge 2.75-2.97
Ac 0.5313 0.3182 0.6192  6 Ge 3.32-3.40, 4 Li 3.33-3.57
Ac 0.4687 0.6818 0.3808  6 Ge 3.32-3.40, 4 Li 3.33-3.57
Ac 0.2531 0.2672 0.2265  6 Ge 3.24-3.48
Ac 0.7469 0.7328 0.7735  6 Ge 3.24-3.48
Ac 0.3957 0.2858 0.9228  7 Ge 3.28-3.44
Ac 0.6043 0.7142 0.0772  7 Ge 3.28-3.44
Ge 0.8748 0.7039 0.5466  3 Li 2.75-2.87, 1 Ge 2.81
Ge 0.1252 0.2961 0.4534  3 Li 2.75-2.87, 1 Ge 2.81
Ge 0.1085 0.8590 0.9240  2 Ge 2.69-2.79
Ge 0.8915 0.1410 0.0760  2 Ge 2.69-2.79
Ge 0.9580 0.8552 0.2289  1 Ge 2.69, 1 Li 2.97
Ge 0.0420 0.1448 0.7711  1 Ge 2.69, 1 Li 2.97

- ΔH_f (0 K): -0.648 eV/atom
- DOS(E_F): 0.6976 states/eV per atom
- Calculated volume: 394 Å³/cell


Record 4
Entry from the Alexandria database: a relaxed Li3AcGe3 crystal (GGA-PBE).

a b c (Å): 4.0541 9.9460 9.9466
angles (deg): 120.01 90.00 90.00
Last column: nearest neighbours and their distance in Å.
Fractional coordinates of all 14 atoms:
Li 0.7500 0.7578 0.0955  4 Ge 2.70-2.85
Li 0.7500 0.3377 0.2422  4 Ge 2.70-2.85
Li 0.7500 0.9045 0.6623  4 Ge 2.70-2.85
Li 0.2500 0.2422 0.9045  4 Ge 2.70-2.85
Li 0.2500 0.6623 0.7578  4 Ge 2.70-2.85
Li 0.2500 0.0955 0.3377  4 Ge 2.70-2.85
Ac 0.7500 0.3334 0.6667  9 Ge 3.30-3.32, 6 Li 3.56
Ac 0.2500 0.6666 0.3333  9 Ge 3.30-3.32, 6 Li 3.56
Ge 0.7500 0.9568 0.4051  2 Ge 2.61, 4 Li 2.70-2.85
Ge 0.7500 0.4483 0.0431  2 Ge 2.61, 4 Li 2.70-2.85
Ge 0.7500 0.5949 0.5517  2 Ge 2.61, 4 Li 2.70-2.85
Ge 0.2500 0.0432 0.5949  2 Ge 2.61, 4 Li 2.70-2.85
Ge 0.2500 0.5517 0.9569  2 Ge 2.61, 4 Li 2.70-2.85
Ge 0.2500 0.4051 0.4483  2 Ge 2.61, 4 Li 2.70-2.85

- ΔH_f (0 K): -0.451 eV/atom
- DOS(E_F): 0.1262 states/eV per atom
- Calculated volume: 347 Å³/cell


Number 1: energy -4.172 eV per atom. Number 2: energy -4.186 eV per atom. Number 3: energy -4.661 eV per atom. Number 4: energy -3.837 eV per atom.